# 1
A relaxed structure of K6Na3Tl, computed with PBE.

```
data_K6Na3Tl
_space_group_name_H-M_alt 'P 1 21/c 1'
_space_group_IT_number 14
_cell_length_a 11.4833
_cell_length_b 7.8497
_cell_length_c 16.5409
_cell_angle_alpha 90.00
_cell_angle_beta 133.55
_cell_angle_gamma 90.00
loop_
_space_group_symop_operation_xyz
'x,y,z'
'-x,-y,-z'
'-x,y+1/2,-z+1/2'
'x,-y+1/2,z+1/2'
loop_
_atom_site_label
_atom_site_type_symbol
_atom_site_fract_x
_atom_site_fract_y
_atom_site_fract_z
_atom_site_occupancy
K1 K 0.0869 0.2462 0.2367 1
K2 K 0.2232 0.0979 0.0610 1
K3 K 0.3840 0.5740 0.0651 1
Na1 Na 0.2441 0.7025 0.2335 1
Na2 Na 0.5000 0.0000 0.0000 1
Tl1 Tl 0.0000 0.0000 0.5000 1
```

Results
M_tot ... 0.000 μB per formula unit
Mass density ... 1561 kg/m³
DOS at the Fermi energy ... 5.4 states/eV/f.u.
E_form ... 1 meV/atom

=====

# 2
A relaxed structure of TiMoRu, computed with PBE.

```
data_TiMoRu
_space_group_name_H-M_alt 'I 4 m m'
_space_group_IT_number 107
_space_group_name_Hall 'I 4 -2'
_cell_length_a 3.1012
_cell_length_b 3.1012
_cell_length_c 9.4520
_cell_angle_alpha 90.00
_cell_angle_beta 90.00
_cell_angle_gamma 90.00
loop_
_atom_site_label
_atom_site_type_symbol
_atom_site_fract_x
_atom_site_fract_y
_atom_site_fract_z
_atom_site_occupancy
Ti1 Ti 0.0000 0.0000 0.0000 1
Mo1 Mo 0.0000 0.0000 0.6686 1
Ru1 Ru 0.0000 0.0000 0.3361 1
```

Results
M_tot ... 0.000 μB per formula unit
Mass density ... 8946 kg/m³
DOS at the Fermi energy ... 2.2 states/eV/f.u.
E_form ... -271 meV/atom

=====

Question: The highest mass density belongs to which entry?
Answer: TiMoRu